No. 1
Density functional theory data (PBE-GGA) for a relaxed structure of LuTaNiOs.

Fermi-level density of states   0.992 states/eV per atom
ΔE_f   -0.28 eV per atom

abc: 4.5581 4.5581 4.5581
angles: 60.00 60.00 60.00
With the nearest neighbours (Å) after each atom.
Fractional coordinates of all 4 atoms:
Lu: 0.0000 0.0000 0.0000  4 Os 2.79, 4 Ni 2.79
Ta: 0.5000 0.5000 0.5000  4 Ni 2.79, 4 Os 2.79
Ni: 0.2500 0.2500 0.2500  4 Ta 2.79, 4 Lu 2.79
Os: 0.7500 0.7500 0.7500  4 Ta 2.79, 4 Lu 2.79

No. 2
Density functional theory data (PBE-GGA) for a relaxed structure of Li4FeSe.

Fermi-level density of states   0.488 states/eV per atom
Energy relative to the elements, uncorrected   182 meV/atom

abc: 5.1018 5.1018 5.1018
angles: 60.00 60.00 60.00
With the nearest neighbours (Å) after each atom.
Fractional coordinates of all 6 atoms:
Li: 0.1248 0.1248 0.1248  6 Li 2.55-2.56
Li: 0.1248 0.1248 0.6256  6 Li 2.55-2.56
Li: 0.1248 0.6256 0.1248  6 Li 2.55-2.56
Li: 0.6256 0.1248 0.1248  6 Li 2.55-2.56
Fe: 0.5000 0.5000 0.5000  12 Li 2.99, 4 Se 3.12
Se: 0.7500 0.7500 0.7500  12 Li 2.99, 4 Fe 3.12

No. 3
Density functional theory data (PBE-GGA) for a relaxed structure of NdY2Ho6Er3.

Fermi-level density of states   1.356 states/eV per atom
ΔE_f   0.02 eV per atom

abc: 6.1286 6.1286 11.7410
angles: 94.97 94.97 119.94
With the nearest neighbours (Å) after each atom.
Fractional coordinates of all 12 atoms:
Nd: 0.0000 0.0000 0.0000  6 Y 3.54, 6 Ho 3.57
Y: 0.3333 0.6667 0.0000  3 Nd 3.54, 3 Y 3.54, 6 Ho 3.57
Y: 0.6667 0.3333 0.0000  3 Nd 3.54, 3 Y 3.54, 6 Ho 3.57
Ho: 0.0851 0.4184 0.2532  3 Er 3.51, 6 Ho 3.54, 2 Y 3.57, 1 Nd 3.57
Ho: 0.2483 0.2483 0.7470  3 Er 3.51, 6 Ho 3.54, 1 Nd 3.57, 2 Y 3.57
Ho: 0.4184 0.0851 0.2532  3 Er 3.51, 6 Ho 3.54, 2 Y 3.57, 1 Nd 3.57
Ho: 0.5816 0.9149 0.7468  3 Er 3.51, 6 Ho 3.54, 2 Y 3.57, 1 Nd 3.57
Ho: 0.7517 0.7517 0.2530  3 Er 3.51, 6 Ho 3.54, 1 Nd 3.57, 2 Y 3.57
Ho: 0.9149 0.5816 0.7468  3 Er 3.51, 6 Ho 3.54, 2 Y 3.57, 1 Nd 3.57
Er: 0.1670 0.8330 0.5000  6 Ho 3.51, 6 Er 3.53-3.54
Er: 0.5000 0.5000 0.5000  6 Ho 3.51, 6 Er 3.53-3.54
Er: 0.8330 0.1670 0.5000  6 Ho 3.51, 6 Er 3.53-3.54

No. 4
Density functional theory data (PBE-GGA) for a relaxed structure of BaTa2Pt.

Fermi-level density of states   1.367 states/eV per atom
ΔE_f   0.72 eV per atom
Offset from the most stable computed form   591 meV/atom

abc: 9.8242 9.8242 9.8242
angles: 149.25 149.25 44.04
With the nearest neighbours (Å) after each atom.
Fractional coordinates of all 8 atoms:
Ba: 0.3750 0.6250 0.7500  4 Pt 3.68, 8 Ta 3.70
Ba: 0.6250 0.3750 0.2500  4 Pt 3.68, 8 Ta 3.70
Ta: 0.0000 0.0000 0.0000  2 Ta 2.60, 2 Pt 2.62
Ta: 0.0000 0.0000 0.5000  2 Ta 2.60, 2 Pt 2.62
Ta: 0.0000 0.5000 0.0000  2 Ta 2.60, 2 Pt 2.62
Ta: 0.5000 0.0000 0.5000  2 Ta 2.60, 2 Pt 2.62
Pt: 0.1250 0.8750 0.2500  4 Ta 2.62
Pt: 0.8750 0.1250 0.7500  4 Ta 2.62

- Which of these has the highest Fermi-level density of states?
  BaTa2Pt